Compound: Ac12Ag5Se3
Source: the Alexandria database
Functional: PBE-GGA
Structure: relaxed Values from VASP.

Cell and atoms, written as Quantum ESPRESSO input:
```
&SYSTEM
  ibrav = 0, nat = 80, ntyp = 3
/
ATOMIC_SPECIES
Ac 227.00 Ac.upf
Ag 107.87 Ag.upf
Se 78.96 Se.upf
CELL_PARAMETERS angstrom
-9.2941 9.2941 9.2941
9.2941 -9.2941 9.2941
9.2941 9.2941 -9.2941
ATOMIC_POSITIONS crystal
Ac 0.0516 0.2220 0.1283
Ac 0.0516 0.3296 0.9233
Ac 0.0767 0.6283 0.4063
Ac 0.0767 0.9484 0.6704
Ac 0.0937 0.7220 0.6704
Ac 0.0937 0.8717 0.4233
Ac 0.1283 0.0516 0.2220
Ac 0.1283 0.5767 0.9063
Ac 0.1704 0.2220 0.5937
Ac 0.1704 0.4484 0.5767
Ac 0.2220 0.1283 0.0516
Ac 0.2220 0.5937 0.1704
Ac 0.2780 0.3296 0.9063
Ac 0.2780 0.4484 0.3717
Ac 0.3296 0.9063 0.2780
Ac 0.3296 0.9233 0.0516
Ac 0.3717 0.2780 0.4484
Ac 0.3717 0.5937 0.9233
Ac 0.4063 0.0767 0.6283
Ac 0.4063 0.8296 0.7780
Ac 0.4233 0.0937 0.8717
Ac 0.4233 0.8296 0.5516
Ac 0.4484 0.3717 0.2780
Ac 0.4484 0.5767 0.1704
Ac 0.5516 0.4233 0.8296
Ac 0.5516 0.6283 0.7220
Ac 0.5767 0.1704 0.4484
Ac 0.5767 0.9063 0.1283
Ac 0.5937 0.1704 0.2220
Ac 0.5937 0.9233 0.3717
Ac 0.6283 0.4063 0.0767
Ac 0.6283 0.7220 0.5516
Ac 0.6704 0.0767 0.9484
Ac 0.6704 0.0937 0.7220
Ac 0.7220 0.5516 0.6283
Ac 0.7220 0.6704 0.0937
Ac 0.7780 0.4063 0.8296
Ac 0.7780 0.8717 0.9484
Ac 0.8296 0.5516 0.4233
Ac 0.8296 0.7780 0.4063
Ac 0.8717 0.4233 0.0937
Ac 0.8717 0.9484 0.7780
Ac 0.9063 0.1283 0.5767
Ac 0.9063 0.2780 0.3296
Ac 0.9233 0.0516 0.3296
Ac 0.9233 0.3717 0.5937
Ac 0.9484 0.6704 0.0767
Ac 0.9484 0.7780 0.8717
Ag 0.0000 0.0000 0.0000
Ag 0.0000 0.0000 0.5000
Ag 0.0000 0.5000 0.0000
Ag 0.0000 0.5000 0.5000
Ag 0.1250 0.7500 0.8750
Ag 0.1250 0.8750 0.2500
Ag 0.2500 0.1250 0.8750
Ag 0.2500 0.6250 0.3750
Ag 0.3750 0.2500 0.6250
Ag 0.3750 0.6250 0.7500
Ag 0.5000 0.0000 0.0000
Ag 0.5000 0.0000 0.5000
Ag 0.5000 0.5000 0.0000
Ag 0.5000 0.5000 0.5000
Ag 0.6250 0.3750 0.2500
Ag 0.6250 0.7500 0.3750
Ag 0.7500 0.3750 0.6250
Ag 0.7500 0.8750 0.1250
Ag 0.8750 0.1250 0.7500
Ag 0.8750 0.2500 0.1250
Se 0.1250 0.2500 0.3750
Se 0.1250 0.3750 0.7500
Se 0.2500 0.3750 0.1250
Se 0.2500 0.8750 0.6250
Se 0.3750 0.1250 0.2500
Se 0.3750 0.7500 0.1250
Se 0.6250 0.2500 0.8750
Se 0.6250 0.8750 0.7500
Se 0.7500 0.1250 0.3750
Se 0.7500 0.6250 0.8750
Se 0.8750 0.6250 0.2500
Se 0.8750 0.7500 0.6250
```

Values from the calculation:
* symmetry: No. 230
* formation energy from raw total energies: -187 meV per atom


Compound: Ac4BePb2
Source: the Alexandria database
Functional: PBE-GGA
Structure: relaxed Values from VASP.

Cell and atoms, written as Quantum ESPRESSO input:
```
&SYSTEM
  ibrav = 0, nat = 7, ntyp = 3
/
ATOMIC_SPECIES
Ac 227.00 Ac.upf
Be 9.01 Be.upf
Pb 207.20 Pb.upf
CELL_PARAMETERS angstrom
-2.7147 2.7147 9.0651
2.7147 -2.7147 9.0651
2.7147 2.7147 -9.0651
ATOMIC_POSITIONS crystal
Ac 0.0000 0.5000 0.5000
Ac 0.1751 0.1751 0.0000
Ac 0.5000 0.0000 0.5000
Ac 0.8249 0.8249 0.0000
Be 0.0000 0.0000 0.0000
Pb 0.3640 0.3640 0.0000
Pb 0.6360 0.6360 0.0000
```

Values from the calculation:
* energy of formation from the pure elements: -0.1259 eV/atom
* symmetry: No. 139


Compound: IrAu3Se
Source: the Alexandria database
Functional: PBE-GGA
Structure: relaxed Values from VASP.

Cell and atoms, written as Quantum ESPRESSO input:
```
&SYSTEM
  ibrav = 0, nat = 5, ntyp = 3
/
ATOMIC_SPECIES
Ir 192.22 Ir.upf
Au 196.97 Au.upf
Se 78.96 Se.upf
CELL_PARAMETERS angstrom
5.0209 0.0000 0.0000
0.0000 5.0209 0.0000
0.0000 0.0000 5.0209
ATOMIC_POSITIONS crystal
Ir 0.0000 0.0000 0.0000
Au 0.0000 0.0000 0.5000
Au 0.0000 0.5000 0.0000
Au 0.5000 0.0000 0.0000
Se 0.5000 0.5000 0.5000
```

Values from the calculation:
* energy above the lowest structure with this stoichiometry: 0.0 kJ per mole of atoms
* symmetry: No. 221
* formation energy from raw total energies: 1202 meV per atom


Compound: Nd2TmThSb4
Source: the Alexandria database
Functional: PBE-GGA
Structure: relaxed Values from VASP.

Cell and atoms, written as Quantum ESPRESSO input:
```
&SYSTEM
  ibrav = 0, nat = 8, ntyp = 4
/
ATOMIC_SPECIES
Nd 144.24 Nd.upf
Tm 168.93 Tm.upf
Th 232.04 Th.upf
Sb 121.76 Sb.upf
CELL_PARAMETERS angstrom
7.7311 0.0000 0.0000
0.0000 4.4821 0.0000
-2.5886 0.0000 7.3252
ATOMIC_POSITIONS crystal
Nd 0.0000 0.0000 0.0000
Nd 0.5000 0.5000 0.0000
Tm 0.0000 0.5000 0.5000
Th 0.5000 0.0000 0.5000
Sb 0.2421 0.0000 0.7410
Sb 0.2462 0.5000 0.2548
Sb 0.7538 0.5000 0.7452
Sb 0.7579 0.0000 0.2590
```

Values from the calculation:
* symmetry: No. 10
* formation energy from raw total energies: -1100 meV per atom


Compound: TbCe2Ga4
Source: the Alexandria database
Functional: PBE-GGA
Structure: relaxed Values from VASP.

Cell and atoms, written as Quantum ESPRESSO input:
```
&SYSTEM
  ibrav = 0, nat = 7, ntyp = 3
/
ATOMIC_SPECIES
Tb 158.93 Tb.upf
Ce 140.12 Ce.upf
Ga 69.72 Ga.upf
CELL_PARAMETERS angstrom
-2.0830 2.1059 9.4118
2.0830 -2.1059 9.4118
2.0830 2.1059 -9.4118
ATOMIC_POSITIONS crystal
Tb 0.0000 0.0000 0.0000
Ce 0.1893 0.6893 0.5000
Ce 0.8107 0.3107 0.5000
Ga 0.3603 0.8603 0.5000
Ga 0.4351 0.4351 0.0000
Ga 0.5649 0.5649 0.0000
Ga 0.6397 0.1397 0.5000
```

Values from the calculation:
* energy of formation from the pure elements: -0.5415 eV/atom
* symmetry: No. 71


Compound: ZnReSb2I
Source: the Alexandria database
Functional: PBE-GGA
Structure: relaxed Values from VASP.

Cell and atoms, written as Quantum ESPRESSO input:
```
&SYSTEM
  ibrav = 0, nat = 5, ntyp = 4
/
ATOMIC_SPECIES
Zn 65.41 Zn.upf
Re 186.21 Re.upf
Sb 121.76 Sb.upf
I 126.90 I.upf
CELL_PARAMETERS angstrom
5.0981 0.0000 0.0000
0.0000 5.0981 0.0000
0.0000 0.0000 5.9837
ATOMIC_POSITIONS crystal
Zn 0.0000 0.0000 0.0000
Re 0.5000 0.5000 0.5000
Sb 0.0000 0.5000 0.5000
Sb 0.5000 0.0000 0.5000
I 0.5000 0.5000 0.0000
```

Values from the calculation:
* energy above the lowest structure with this stoichiometry: 0.0 kJ per mole of atoms
* symmetry: No. 123
* formation energy from raw total energies: 680 meV per atom


Compound: Co2Ni2W
Source: the Alexandria database
Functional: PBE-GGA
Structure: relaxed Values from VASP.

Cell and atoms, written as Quantum ESPRESSO input:
```
&SYSTEM
  ibrav = 0, nat = 5, ntyp = 3
/
ATOMIC_SPECIES
Co 58.93 Co.upf
Ni 58.69 Ni.upf
W 183.84 W.upf
CELL_PARAMETERS angstrom
-1.6504 1.6504 5.7189
1.6504 -1.6504 5.7189
1.6504 1.6504 -5.7189
ATOMIC_POSITIONS crystal
Co 0.2500 0.7500 0.5000
Co 0.7500 0.2500 0.5000
Ni 0.0998 0.0998 0.0000
Ni 0.9002 0.9002 0.0000
W 0.5000 0.5000 0.0000
```

Values from the calculation:
* energy of formation from the pure elements: 0.3895 eV/atom
* energy above the lowest structure with this stoichiometry: 19.6 kJ per mole of atoms
* symmetry: No. 139


Compound: ZrPt
Source: the Alexandria database
Functional: PBE-GGA
Structure: relaxed Values from VASP.

Cell and atoms, written as Quantum ESPRESSO input:
```
&SYSTEM
  ibrav = 0, nat = 8, ntyp = 2
/
ATOMIC_SPECIES
Zr 91.22 Zr.upf
Pt 195.08 Pt.upf
CELL_PARAMETERS angstrom
-4.9170 4.9170 1.8851
4.9170 -4.9170 1.8851
4.9170 4.9170 -1.8851
ATOMIC_POSITIONS crystal
Zr 0.1404 0.6460 0.7864
Zr 0.3540 0.1404 0.4944
Zr 0.6460 0.8596 0.5056
Zr 0.8596 0.3540 0.2136
Pt 0.3208 0.4224 0.7432
Pt 0.4224 0.6792 0.1017
Pt 0.5776 0.3208 0.8983
Pt 0.6792 0.5776 0.2568
```

Values from the calculation:
* energy of formation from the pure elements: -0.5982 eV/atom
* symmetry: No. 87


Compound: AgPbSO4
Source: the Alexandria database
Functional: PBE-GGA
Structure: relaxed Values from VASP.

Cell and atoms, written as Quantum ESPRESSO input:
```
&SYSTEM
  ibrav = 0, nat = 7, ntyp = 4
/
ATOMIC_SPECIES
Ag 107.87 Ag.upf
Pb 207.20 Pb.upf
S 32.06 S.upf
O 16.00 O.upf
CELL_PARAMETERS angstrom
-3.3283 3.3283 2.8879
3.3283 -3.3283 2.8879
3.3283 3.3283 -2.8879
ATOMIC_POSITIONS crystal
Ag 0.0000 0.0000 0.0000
Pb 0.5000 0.5000 0.0000
S 0.7500 0.2500 0.5000
O 0.0417 0.5155 0.7596
O 0.4845 0.2440 0.5262
O 0.7179 0.9583 0.4738
O 0.7560 0.2821 0.2404
```

Values from the calculation:
* symmetry: No. 82
* formation energy from raw total energies: -949 meV per atom


Compound: Tb4TcPt
Source: the Alexandria database
Functional: PBE-GGA
Structure: relaxed Values from VASP.

Cell and atoms, written as Quantum ESPRESSO input:
```
&SYSTEM
  ibrav = 0, nat = 12, ntyp = 3
/
ATOMIC_SPECIES
Tb 158.93 Tb.upf
Tc 98.00 Tc.upf
Pt 195.08 Pt.upf
CELL_PARAMETERS angstrom
4.5202 -6.4918 0.0000
4.5202 6.4918 0.0000
-3.5999 0.0000 5.3224
ATOMIC_POSITIONS crystal
Tb 0.0491 0.6998 0.9052
Tb 0.2359 0.3639 0.7273
Tb 0.3002 0.9509 0.5948
Tb 0.3639 0.2359 0.2273
Tb 0.6361 0.7641 0.7727
Tb 0.6998 0.0491 0.4052
Tb 0.7641 0.6361 0.2727
Tb 0.9509 0.3002 0.0948
Tc 0.0015 0.9985 0.2500
Tc 0.9985 0.0015 0.7500
Pt 0.3647 0.6353 0.2500
Pt 0.6353 0.3647 0.7500
```

Values from the calculation:
* energy of formation from the pure elements: -0.5047 eV/atom
* symmetry: No. 15


Compound: Li3ScGa3
Source: the Alexandria database
Functional: PBE-GGA
Structure: relaxed Values from VASP.

Cell and atoms, written as Quantum ESPRESSO input:
```
&SYSTEM
  ibrav = 0, nat = 14, ntyp = 3
/
ATOMIC_SPECIES
Li 6.94 Li.upf
Sc 44.96 Sc.upf
Ga 69.72 Ga.upf
CELL_PARAMETERS angstrom
6.5970 0.0000 0.0000
0.0000 6.5970 0.0000
0.0000 0.0000 6.5970
ATOMIC_POSITIONS crystal
Li 0.0000 0.2500 0.5000
Li 0.0000 0.7500 0.5000
Li 0.2500 0.5000 0.0000
Li 0.5000 0.0000 0.2500
Li 0.5000 0.0000 0.7500
Li 0.7500 0.5000 0.0000
Sc 0.0000 0.0000 0.0000
Sc 0.5000 0.5000 0.5000
Ga 0.0000 0.5000 0.2500
Ga 0.0000 0.5000 0.7500
Ga 0.2500 0.0000 0.5000
Ga 0.5000 0.2500 0.0000
Ga 0.5000 0.7500 0.0000
Ga 0.7500 0.0000 0.5000
```

Values from the calculation:
* energy of formation from the pure elements: 0.3174 eV/atom
* symmetry: No. 223


Calculated D(E_F) (states/eV/f.u.), listed in the same order as above: 22.924; 4.995; 6.365; 1.691; 11.132; 3.092; 5.904; 1.766; 3.797; 4.886; 3.594
Calculated ρ (kg/m3), listed in the same order as above: 7240; 8273; 11310; 7697; 7220; 6642; 11170; 10432; 5335; 9875; 3180